# Nd3Ga2Ni6 SCAN PBEsol geometry
data_Nd3Ga2Ni6
_symmetry_space_group_name_H-M 'I m -3 m'
_symmetry_Int_Tables_number 229
_symmetry_space_group_name_Hall '-I 4 2 3'
_cell_length_a 8.8926
_cell_length_b 8.8926
_cell_length_c 8.8926
_cell_angle_alpha 90.00
_cell_angle_beta 90.00
_cell_angle_gamma 90.00
loop_
_atom_site_label
_atom_site_type_symbol
_atom_site_fract_x
_atom_site_fract_y
_atom_site_fract_z
_atom_site_occupancy
Nd1 Nd 0.0000 0.0000 0.2874 1
Ga1 Ga 0.2500 0.2500 0.2500 1
Ni1 Ni 0.0000 0.3380 0.3380 1
# Crystal system = cubic
# Formation energy from the elements = -455.1 meV/atom
# Electronic total energy = -1.77389 Ry/atom

---

# Cu2AsPt SCAN PBEsol geometry
data_Cu2AsPt
_symmetry_space_group_name_H-M 'F -4 3 m'
_symmetry_Int_Tables_number 216
_symmetry_space_group_name_Hall 'F -4 2 3'
_cell_length_a 6.0325
_cell_length_b 6.0325
_cell_length_c 6.0325
_cell_angle_alpha 90.00
_cell_angle_beta 90.00
_cell_angle_gamma 90.00
loop_
_atom_site_label
_atom_site_type_symbol
_atom_site_fract_x
_atom_site_fract_y
_atom_site_fract_z
_atom_site_occupancy
Cu1 Cu 0.0000 0.0000 0.0000 1
Cu2 Cu 0.2500 0.2500 0.2500 1
As1 As 0.2500 0.2500 0.7500 1
Pt1 Pt 0.0000 0.0000 0.5000 1
# Crystal system = cubic
# Formation energy from the elements = -64.6 meV/atom
# Electronic total energy = -2.22408 Ry/atom

---

# ZnOs2Se SCAN PBEsol geometry
data_ZnOs2Se
_symmetry_space_group_name_H-M 'C 1 2/m 1'
_symmetry_Int_Tables_number 12
_cell_length_a 8.3838
_cell_length_b 2.8775
_cell_length_c 4.8645
_cell_angle_alpha 90.00
_cell_angle_beta 101.20
_cell_angle_gamma 90.00
loop_
_symmetry_equiv_pos_as_xyz
'x,y,z'
'-x,-y,-z'
'-x,y,-z'
'x,-y,z'
'x+1/2,y+1/2,z'
'-x+1/2,-y+1/2,-z'
'-x+1/2,y+1/2,-z'
'x+1/2,-y+1/2,z'
loop_
_atom_site_label
_atom_site_type_symbol
_atom_site_fract_x
_atom_site_fract_y
_atom_site_fract_z
_atom_site_occupancy
Zn1 Zn 0.0000 0.0000 0.0000 1
Os1 Os 0.2469 0.0000 0.7459 1
Se1 Se 0.0000 0.5000 0.5000 1
# Crystal system = monoclinic
# Electronic total energy = -3.21818 Ry/atom

---

What is the formula in the first record?
Nd3Ga2Ni6

---

Which formula does entry 2 have?
Cu2AsPt

---

What is the electronic total energy in the first record?
-1.77389 Ry/atom

---

What is the electronic total energy in the second record?
-2.22408 Ry/atom